Record 1
{"formula": "DyTlZnNi", "functional": "PBE", "state": "relaxed", "crystal_system": "cubic", "dos_at_fermi_per_ev_cell": 3.0, "dft_energy_ev_per_atom": -3.68, "lattice_angstrom": [[4.748, 0.000, 0.000], [2.374, 4.112, 0.000], [2.374, 1.371, 3.877]], "species": ["Ni", "Tl", "Zn", "Dy"], "frac_coords": [[0.250, 0.250, 0.250], [0.500, 0.500, 0.500], [0.750, 0.750, 0.750], [0.000, 0.000, 0.000]]}

=====

Record 2
{"formula": "Dy3Tm3Ni2", "functional": "PBE", "state": "relaxed", "crystal_system": "orthorhombic", "dos_at_fermi_per_ev_cell": 19.8, "dft_energy_ev_per_atom": -5.02, "lattice_angstrom": [[-3.162, -1.018, -1.390], [4.344, -4.883, -1.640], [-3.985, -8.740, 15.466]], "species": ["Dy", "Dy", "Dy", "Dy", "Dy", "Dy", "Tm", "Tm", "Tm", "Tm", "Tm", "Tm", "Ni", "Ni", "Ni", "Ni"], "frac_coords": [[0.676, 0.353, 0.436], [0.324, 0.647, 0.936], [0.676, 0.353, 0.064], [0.324, 0.647, 0.564], [0.456, 0.912, 0.250], [0.544, 0.088, 0.750], [0.937, 0.875, 0.416], [0.063, 0.125, 0.916], [0.937, 0.875, 0.084], [0.063, 0.125, 0.584], [0.735, 0.470, 0.250], [0.265, 0.530, 0.750], [0.697, 0.394, 0.860], [0.303, 0.606, 0.360], [0.697, 0.394, 0.640], [0.303, 0.606, 0.140]]}

=====

Record 3
{"formula": "Dy2TmNi", "functional": "PBE", "state": "relaxed", "polymorph_energy_mev_per_atom": 104, "crystal_system": "tetragonal", "dos_at_fermi_per_ev_cell": 6.1, "lattice_angstrom": [[3.444, 0.000, 0.000], [0.000, 3.444, 0.000], [0.000, 0.000, 8.505]], "species": ["Ni", "Tm", "Dy", "Dy"], "frac_coords": [[0.500, 0.500, 0.000], [0.500, 0.500, 0.500], [0.000, 0.000, 0.810], [0.000, 0.000, 0.190]]}

=====

Record 4
{"formula": "DyTmNi10", "functional": "PBE", "state": "relaxed", "crystal_system": "orthorhombic", "dos_at_fermi_per_ev_cell": 13.7, "dft_energy_ev_per_atom": -5.91, "lattice_angstrom": [[-1.070, -3.695, 0.926], [1.767, -1.576, -4.246], [7.496, -1.271, 3.591]], "species": ["Dy", "Tm", "Ni", "Ni", "Ni", "Ni", "Ni", "Ni", "Ni", "Ni", "Ni", "Ni"], "frac_coords": [[0.000, 0.000, 0.000], [0.000, 0.500, 0.500], [0.000, 0.000, 0.335], [0.000, 0.500, 0.832], [0.000, 0.500, 0.168], [0.000, 0.000, 0.665], [0.500, 0.000, 0.500], [0.500, 0.500, 0.000], [0.500, 0.251, 0.251], [0.500, 0.749, 0.749], [0.500, 0.749, 0.251], [0.500, 0.251, 0.749]]}

=====

Record 5
{"formula": "Dy6TmNi3", "functional": "PBE", "state": "relaxed", "crystal_system": "orthorhombic", "dos_at_fermi_per_ev_cell": 17.0, "dft_energy_ev_per_atom": -5.13, "lattice_angstrom": [[-5.209, 4.566, -1.152], [-1.321, -3.388, -7.455], [-5.401, -5.308, 3.384]], "species": ["Dy", "Dy", "Dy", "Dy", "Dy", "Dy", "Dy", "Dy", "Dy", "Dy", "Dy", "Dy", "Tm", "Tm", "Ni", "Ni", "Ni", "Ni", "Ni", "Ni"], "frac_coords": [[0.124, 0.702, 0.704], [0.624, 0.704, 0.702], [0.377, 0.559, 0.010], [0.877, 0.010, 0.559], [0.116, 0.003, 0.997], [0.599, 0.300, 0.700], [0.099, 0.700, 0.300], [0.616, 0.997, 0.003], [0.377, 0.990, 0.441], [0.877, 0.441, 0.990], [0.124, 0.296, 0.298], [0.624, 0.298, 0.296], [0.154, 0.301, 0.699], [0.654, 0.699, 0.301], [0.369, 0.995, 0.750], [0.869, 0.750, 0.995], [0.377, 0.511, 0.489], [0.877, 0.489, 0.511], [0.869, 0.005, 0.250], [0.369, 0.250, 0.005]]}

=====

Record 6
{"formula": "Dy3Tm4Ni4", "functional": "PBE", "state": "relaxed", "crystal_system": "orthorhombic", "dos_at_fermi_per_ev_cell": 11.6, "dft_energy_ev_per_atom": -5.24, "lattice_angstrom": [[3.631, 0.000, 0.000], [0.000, 8.650, 0.000], [-1.815, -4.325, 7.883]], "species": ["Dy", "Dy", "Dy", "Tm", "Tm", "Tm", "Tm", "Ni", "Ni", "Ni", "Ni"], "frac_coords": [[0.101, 0.101, 0.202], [0.899, 0.899, 0.798], [0.000, 0.500, 0.000], [0.334, 0.149, 0.669], [0.666, 0.480, 0.331], [0.666, 0.851, 0.331], [0.334, 0.520, 0.669], [0.250, 0.750, 0.501], [0.750, 0.250, 0.499], [0.500, 0.799, 0.000], [0.500, 0.201, 0.000]]}